Ni3P4O14 (PBEsol, optimized geometry); final energy = -7.1127 eV per atom; crystal system = monoclinic
1.0
6.9813 0.0000 0.0000
0.0000 7.7310 0.0000
-3.2131 0.0000 8.5824
Ni P O
6 8 28
Direct
0.0000 0.0000 0.0000 Ni
0.0000 0.5000 0.5000 Ni
0.1869 0.1252 0.5222 Ni
0.1869 0.3748 0.0222 Ni
0.8131 0.6252 0.9778 Ni
0.8131 0.8748 0.4778 Ni
0.1072 0.7179 0.8015 P
0.1072 0.7821 0.3015 P
0.4047 0.0454 0.2968 P
0.4047 0.4546 0.7968 P
0.5953 0.5454 0.2032 P
0.5953 0.9546 0.7032 P
0.8928 0.2179 0.6985 P
0.8928 0.2821 0.1985 P
0.0082 0.2175 0.8784 O
0.0082 0.2825 0.3784 O
0.0221 0.5817 0.8877 O
0.0221 0.9183 0.3877 O
0.1360 0.6080 0.3776 O
0.1360 0.8920 0.8776 O
0.2743 0.1143 0.1346 O
0.2743 0.3857 0.6346 O
0.3219 0.6462 0.8085 O
0.3219 0.8538 0.3085 O
0.3698 0.5169 0.1805 O
0.3698 0.9831 0.6805 O
0.3787 0.1560 0.4271 O
0.3787 0.3440 0.9271 O
0.6213 0.6560 0.0729 O
0.6213 0.8440 0.5729 O
0.6302 0.0169 0.3195 O
0.6302 0.4831 0.8195 O
0.6781 0.1462 0.6915 O
0.6781 0.3538 0.1915 O
0.7257 0.6143 0.3654 O
0.7257 0.8857 0.8654 O
0.8640 0.1080 0.1224 O
0.8640 0.3920 0.6224 O
0.9779 0.0817 0.6123 O
0.9779 0.4183 0.1123 O
0.9918 0.7175 0.6216 O
0.9918 0.7825 0.1216 O

=====

FeNiPt2 (PBEsol, optimized geometry); final energy = -7.3614 eV per atom; crystal system = monoclinic; ΔE_f = -0.099 eV/atom
1.0
8.6314 0.0000 0.0000
0.0000 2.6812 0.0000
-0.8330 0.0000 4.5772
Fe Ni Pt
2 2 4
Direct
0.0000 0.0000 0.0000 Fe
0.5000 0.5000 0.0000 Fe
0.0000 0.5000 0.5000 Ni
0.5000 0.0000 0.5000 Ni
0.2501 0.0000 0.7486 Pt
0.2499 0.5000 0.2514 Pt
0.7499 0.0000 0.2514 Pt
0.7501 0.5000 0.7486 Pt

=====

GaAgBr2 (PBEsol, optimized geometry); final energy = -2.8313 eV per atom; crystal system = cubic
1.0
7.1264 0.0000 0.0000
0.0000 7.1264 0.0000
0.0000 0.0000 7.1264
Ga Ag Br
4 4 8
Direct
0.0000 0.0000 0.0000 Ga
0.0000 0.5000 0.5000 Ga
0.5000 0.0000 0.5000 Ga
0.5000 0.5000 0.0000 Ga
0.0000 0.0000 0.5000 Ag
0.0000 0.5000 0.0000 Ag
0.5000 0.0000 0.0000 Ag
0.5000 0.5000 0.5000 Ag
0.2500 0.2500 0.2500 Br
0.2500 0.2500 0.7500 Br
0.2500 0.7500 0.2500 Br
0.2500 0.7500 0.7500 Br
0.7500 0.2500 0.2500 Br
0.7500 0.2500 0.7500 Br
0.7500 0.7500 0.2500 Br
0.7500 0.7500 0.7500 Br

=====

TlH3W (PBEsol, optimized geometry); final energy = -4.7069 eV per atom; crystal system = cubic
1.0
3.6633 0.0000 0.0000
0.0000 3.6633 0.0000
0.0000 0.0000 3.6633
Tl H W
1 3 1
Direct
0.0000 0.0000 0.0000 Tl
0.0000 0.5000 0.5000 H
0.5000 0.0000 0.5000 H
0.5000 0.5000 0.0000 H
0.5000 0.5000 0.5000 W

=====

RbNaTl2Pd (PBEsol, optimized geometry); final energy = -2.8367 eV per atom; crystal system = tetragonal; ΔE_f = -0.108 eV/atom
1.0
5.2715 0.0000 0.0000
0.0000 5.2715 0.0000
0.0000 0.0000 5.6281
Rb Na Tl Pd
1 1 2 1
Direct
0.0000 0.0000 0.0000 Rb
0.5000 0.5000 0.0000 Na
0.0000 0.5000 0.5000 Tl
0.5000 0.0000 0.5000 Tl
0.5000 0.5000 0.5000 Pd

=====

Mn2TlCd (PBEsol, optimized geometry); final energy = -5.3507 eV per atom; crystal system = cubic; ΔE_f = 0.487 eV/atom
1.0
6.5072 0.0000 0.0000
0.0000 6.5072 0.0000
0.0000 0.0000 6.5072
Mn Tl Cd
8 4 4
Direct
0.2500 0.2500 0.2500 Mn
0.2500 0.2500 0.7500 Mn
0.2500 0.7500 0.2500 Mn
0.2500 0.7500 0.7500 Mn
0.7500 0.2500 0.2500 Mn
0.7500 0.2500 0.7500 Mn
0.7500 0.7500 0.2500 Mn
0.7500 0.7500 0.7500 Mn
0.0000 0.0000 0.0000 Tl
0.0000 0.5000 0.5000 Tl
0.5000 0.0000 0.5000 Tl
0.5000 0.5000 0.0000 Tl
0.0000 0.0000 0.5000 Cd
0.0000 0.5000 0.0000 Cd
0.5000 0.0000 0.0000 Cd
0.5000 0.5000 0.5000 Cd

=====

Q: Look up the final energy of the third one.
A: -2.8313 eV per atom